1.
This record from the Alexandria database describes crystalline Co3Ru at its relaxed geometry. The functional is GGA-PBE.

- Calculated volume: 46.6 Å³ per cell
- Total magnetization: 4.06 Bohr magnetons per cell

Lattice parameters (Å, degrees): 2.561 4.085 4.450 90.00 90.00 90.00
Space group Pmm2 (No. 25)
Inequivalent atoms, fractional coordinates:
Co (0.000, 0.000, 0.000) (multiplicity 1)
Co (0.000, 0.500, 0.327) (multiplicity 1)
Co (0.500, 0.000, 0.483) (multiplicity 1)
Ru (0.500, 0.500, 0.827) (multiplicity 1)



2.
This record from the Alexandria database describes crystalline CoRu5 at its relaxed geometry. The functional is GGA-PBE.

- Calculated volume: 355.3 Å³ per cell
- Total magnetization: 15.67 Bohr magnetons per cell

Lattice parameters (Å, degrees): 7.083 7.083 7.083 90.00 90.00 90.00
Space group F-43m (No. 216)
Inequivalent atoms, fractional coordinates:
Co (0.000, 0.000, 0.000) (multiplicity 4)
Ru (0.125, 0.125, 0.625) (multiplicity 16)
Ru (0.250, 0.250, 0.250) (multiplicity 4)



3.
This record from the Alexandria database describes crystalline Co3Ru at its relaxed geometry. The functional is GGA-PBE.

- Calculated volume: 91.9 Å³ per cell
- Total magnetization: 7.50 Bohr magnetons per cell

Lattice parameters (Å, degrees): 5.1024 5.1024 4.0743 90.00 90.00 120.00
Space group P6_3/mmc (No. 194)
Inequivalent atoms, fractional coordinates:
Co (0.1633, 0.3265, 0.2500) (multiplicity 6)
Ru (0.3333, 0.6667, 0.7500) (multiplicity 2)



4.
This record from the Alexandria database describes crystalline CoRu3 at its relaxed geometry. The functional is GGA-PBE.

- Calculated volume: 52.5 Å³ per cell
- Total magnetization: 0.00 Bohr magnetons per cell

Lattice parameters (Å, degrees): 3.744 3.744 3.744 90.00 90.00 90.00
Space group Pm-3m (No. 221)
Inequivalent atoms, fractional coordinates:
Co (0.000, 0.000, 0.000) (multiplicity 1)
Ru (0.000, 0.500, 0.500) (multiplicity 3)



no.,formation energy (eV/atom)
1,0.12
2,0.70
3,0.11
4,0.15